{
  "formula": "CuBS",
  "functional": "PBE",
  "state": "relaxed",
  "lattice_angstrom": [[3.959, 0.000, 0.000], [0.000, 10.974, 0.000], [0.000, 0.000, 4.906]],
  "species": ["S", "S", "S", "S", "Cu", "Cu", "Cu", "Cu", "B", "B", "B", "B"],
  "fractional_positions": [[0.075, 0.617, 0.507], [0.075, 0.883, 0.007], [0.575, 0.383, 0.493], [0.575, 0.117, 0.993], [0.851, 0.520, 0.876], [0.351, 0.480, 0.124], [0.851, 0.980, 0.376], [0.351, 0.020, 0.624], [0.861, 0.011, 0.785], [0.861, 0.489, 0.285], [0.361, 0.511, 0.715], [0.361, 0.989, 0.215]],
  "sg": "No. 33",
  "raw_formation_energy_kj_per_mol_atoms": 10.8,
  "dft_energy_ev_per_atom": -4.855,
  "m_tot_mub_per_cell": 0.00
}